# RbLi2Cd2 | Alexandria via LeMat-Bulk | PBE | optimized geometry
# ρ: 4.10 Mg/m³
# ΔE_f: -50 meV/atom
data_RbLi2Cd2
_chemical_formula_sum 'Rb2 Li4 Cd4'
_symmetry_space_group_name_H-M 'P 1'
_symmetry_Int_Tables_number 1
_symmetry_space_group_name_Hall 'P 1'
_cell_length_a 8.963
_cell_length_b 8.963
_cell_length_c 3.270
_cell_angle_alpha 90.00
_cell_angle_beta 90.00
_cell_angle_gamma 90.00
loop_
_atom_site_label
_atom_site_fract_x
_atom_site_fract_y
_atom_site_fract_z
Rb1 0.000 0.000 0.000
Rb2 0.500 0.500 0.000
Li1 0.161 0.339 0.000
Li2 0.339 0.839 0.000
Li3 0.661 0.161 0.000
Li4 0.839 0.661 0.000
Cd1 0.123 0.623 0.500
Cd2 0.377 0.123 0.500
Cd3 0.623 0.877 0.500
Cd4 0.877 0.377 0.500

# RbLiCd | Alexandria via LeMat-Bulk | PBE | optimized geometry
# ρ: 3.04 Mg/m³
# ΔE_f: -18 meV/atom
data_RbLiCd
_chemical_formula_sum 'Rb2 Li2 Cd2'
_symmetry_space_group_name_H-M 'P 1'
_symmetry_Int_Tables_number 1
_symmetry_space_group_name_Hall 'P 1'
_cell_length_a 5.353
_cell_length_b 5.353
_cell_length_c 7.819
_cell_angle_alpha 90.00
_cell_angle_beta 90.00
_cell_angle_gamma 90.00
loop_
_atom_site_label
_atom_site_fract_x
_atom_site_fract_y
_atom_site_fract_z
Rb1 0.250 0.250 0.152
Rb2 0.750 0.750 0.848
Li1 0.250 0.750 0.500
Li2 0.750 0.250 0.500
Cd1 0.250 0.250 0.635
Cd2 0.750 0.750 0.365

# RbLiCd3 | Alexandria via LeMat-Bulk | PBE | optimized geometry
# ρ: 2.47 Mg/m³
# ΔE_f: 599 meV/atom
data_RbLiCd3
_chemical_formula_sum 'Rb1 Li1 Cd3'
_symmetry_space_group_name_H-M 'P 1'
_symmetry_Int_Tables_number 1
_symmetry_space_group_name_Hall 'P 1'
_cell_length_a 6.610
_cell_length_b 6.610
_cell_length_c 6.610
_cell_angle_alpha 90.00
_cell_angle_beta 90.00
_cell_angle_gamma 90.00
loop_
_atom_site_label
_atom_site_fract_x
_atom_site_fract_y
_atom_site_fract_z
Rb1 0.000 0.000 0.000
Li1 0.500 0.500 0.500
Cd1 0.000 0.000 0.500
Cd2 0.000 0.500 0.000
Cd3 0.500 0.000 0.000